This record from Alexandria via LeMat-Bulk describes LiOs2Se after structural relaxation. The functional is PBE-GGA.

- DOS(E_F) (states/eV/atom) = 1.38
- VASP energy (eV/atom) = -6.23
- raw formation energy (eV per atom) = 0.737

```
8
Lattice="7.5964 0.0000 0.0000 0.0000 7.5964 0.0000 3.7982 3.7982 2.3326" Properties=species:S:1:pos:R:3 pbc="T T T"
Li 3.7982 7.5964 1.1663
Li 3.7982 3.7982 0.0000
Os 1.3606 5.6973 0.5831
Os 5.6973 5.1588 1.7494
Os 6.2358 1.8991 0.5831
Os 9.4955 10.0340 1.7494
Se 0.0000 0.0000 0.0000
Se 7.5964 3.7982 1.1663
```

=====

This record from Alexandria via LeMat-Bulk describes MnIn2Fe after structural relaxation. The functional is PBE-GGA.

- formation enthalpy at 0 K (eV per atom) = 0.282
- DOS(E_F) (states/eV/atom) = 0.69
- VASP energy (eV/atom) = -5.50

```
4
Lattice="-0.8815 2.1392 -1.8421 -0.7925 -2.0397 -1.9895 -7.1882 -0.2636 3.1334" Properties=species:S:1:pos:R:3 pbc="T T T"
In -3.6305 -0.1332 1.5826
In -7.1518 -0.2623 3.1176
Mn -2.6340 -0.0161 -1.1325
Fe -6.2281 -0.1480 0.4342
```

=====

This record from Alexandria via LeMat-Bulk describes K2CdSb after structural relaxation. The functional is PBE-GGA.

- DOS(E_F) (states/eV/atom) = 0.63
- VASP energy (eV/atom) = -1.96
- energy above the lowest structure with this stoichiometry (kJ/mol of atoms) = 11.30
- raw formation energy (eV per atom) = -0.148

```
4
Lattice="-2.8920 -0.8636 -1.5867 -0.7776 -3.8037 3.4875 -4.0466 5.0629 4.6198" Properties=species:S:1:pos:R:3 pbc="T T T"
Sb -2.8464 -1.0679 2.1054
Cd -4.8697 1.4635 4.4153
K -1.9335 2.4191 2.2074
K -0.0898 0.1124 0.1025
```

=====

This record from Alexandria via LeMat-Bulk describes CaAgF4 after structural relaxation. The functional is PBE-GGA.

- DOS(E_F) (states/eV/atom) = 0.00
- VASP energy (eV/atom) = -4.60
- energy above the lowest structure with this stoichiometry (kJ/mol of atoms) = 0.00
- raw formation energy (eV per atom) = -2.542

```
12
Lattice="5.1834 -0.0620 -2.1127 -1.0180 4.8307 -2.6394 -0.2594 0.4019 6.7724" Properties=species:S:1:pos:R:3 pbc="T T T"
F 3.7600 1.8466 2.5908
F 0.0766 0.9159 0.9870
F 1.1246 4.8226 1.7964
F 3.8294 4.2548 1.0334
F 2.8511 2.7550 -1.3328
F 1.0549 2.4156 3.3532
F 0.1460 3.3241 -0.5704
F 2.7814 0.3481 0.2240
Ag 2.4620 0.1700 2.3299
Ag -0.6387 2.6163 2.0665
Ca 1.0414 1.1920 -1.1879
Ca 3.1240 3.5768 -3.5642
```